(1)
{
  "formula": "Be2SiIr",
  "functional": "PBE",
  "state": "relaxed",
  "total_energy_ev_per_cell": -21.515,
  "mass_density_g_cm3": 8.14,
  "space_group": "R3m (160)",
  "lattice": [[7.529, -0.025, -0.015], [7.031, 2.691, -0.015], [7.031, 1.287, 2.363]],
  "species": ["Be", "Be", "Si", "Ir"],
  "frac_coords": [[0.251, 0.251, 0.251], [0.998, 0.998, 0.998], [0.750, 0.750, 0.750], [0.502, 0.502, 0.502]]
}

(2)
{
  "formula": "SrCr2SbC",
  "functional": "PBE",
  "state": "relaxed",
  "total_energy_ev_per_cell": -22.477,
  "mass_density_g_cm3": 3.66,
  "space_group": "P4/mmm (123)",
  "lattice": [[-2.289, 4.209, 0.739], [-5.372, -2.573, -1.984], [-1.027, -1.356, 4.540]],
  "species": ["Cr", "Cr", "C", "Sr", "Sb"],
  "frac_coords": [[0.500, 0.000, 0.000], [0.000, 0.000, 0.500], [0.500, 0.500, 0.500], [0.000, 0.500, 0.000], [0.000, 0.000, 0.000]]
}

(3)
{
  "formula": "NiHN",
  "functional": "PBE",
  "state": "relaxed",
  "total_energy_ev_per_cell": -67.387,
  "mass_density_g_cm3": 5.06,
  "space_group": "Cm (8)",
  "lattice": [[-1.444, -3.972, -0.939], [-0.336, -0.515, 2.695], [-6.873, 4.752, 0.053]],
  "species": ["N", "N", "N", "N", "Ni", "Ni", "Ni", "Ni", "H", "H", "H", "H"],
  "frac_coords": [[0.811, 0.000, 0.549], [0.309, 0.500, 0.318], [0.309, 0.000, 0.818], [0.811, 0.500, 0.049], [0.082, 0.500, 0.692], [0.777, 0.500, 0.382], [0.777, 0.000, 0.882], [0.082, 0.000, 0.192], [0.281, 0.500, 0.439], [0.281, 0.000, 0.939], [0.593, 0.500, 0.079], [0.593, 0.000, 0.579]]
}